No. 1
TbIn3Te6 | PBE-GGA | relaxed

Values from the calculation:
For the uncorrected formation energy, the calculation gives -5.0 eV/f.u. The calculation puts the volume at 322.71 Å³/f.u. The value obtained for the total energy is -3.674 eV/atom.

```
TbIn3Te6
1.0
-1.224 -2.087 3.675
-11.776 -1.768 -4.926
7.376 -9.296 -2.824
Tb In Te
2 6 12
direct
0.750 0.050 0.705
0.250 0.950 0.295
0.750 0.439 0.837
0.250 0.561 0.163
0.750 0.703 0.473
0.250 0.297 0.527
0.750 0.169 0.098
0.250 0.831 0.902
0.750 0.458 0.606
0.250 0.542 0.394
0.750 0.932 0.094
0.250 0.068 0.906
0.750 0.395 0.063
0.250 0.605 0.937
0.750 0.754 0.261
0.250 0.246 0.739
0.750 0.096 0.464
0.250 0.904 0.536
0.750 0.806 0.731
0.250 0.194 0.269
```



No. 2
La2ZnF8 | PBE-GGA | relaxed

Values from the calculation:
For the uncorrected formation energy, the calculation gives -39.3 eV/f.u. The calculation puts the volume at 143.36 Å³/f.u. The value obtained for the total energy is -5.949 eV/atom.

```
La2ZnF8
1.0
-1.443 -0.089 -3.849
4.806 -1.548 -1.766
-3.525 -5.379 3.642
Zn F La
1 8 2
direct
0.500 0.000 0.000
0.592 0.382 0.183
0.342 0.055 0.683
0.219 0.302 0.439
0.018 0.778 0.036
0.781 0.698 0.561
0.658 0.945 0.317
0.408 0.618 0.817
0.982 0.222 0.964
0.162 0.663 0.325
0.838 0.337 0.675
```



No. 3
VNi3Ru | PBE-GGA | relaxed

Values from the calculation:
The calculation puts the volume at 61.77 Å³/f.u. The formation energy comes out at 0.070 eV per atom. The value obtained for the total energy is -7.078 eV/atom. The offset from the most stable computed form comes out at 0.0 kJ/mol of formula units.

```
VNi3Ru
1.0
-0.487 0.492 -4.991
1.431 -4.261 1.984
-4.940 -3.748 0.113
V Ni Ru
2 6 2
direct
0.801 0.665 0.614
0.136 0.335 0.386
0.663 0.879 0.240
0.275 0.121 0.760
0.154 0.879 0.240
0.317 0.697 0.618
0.783 0.121 0.760
0.620 0.303 0.382
0.467 0.500 0.000
0.968 0.500 0.000
```



No. 4
Mg2ScAu4 | PBE-GGA | relaxed

Values from the calculation:
The calculation puts the volume at 140.88 Å³/f.u. The formation energy comes out at -0.523 eV per atom. The value obtained for the total energy is -3.756 eV/atom.

```
Mg2ScAu4
1.0
4.459 0.000 -1.421
-0.453 4.436 -1.421
-0.151 -0.167 7.230
Mg Sc Au
2 1 4
direct
0.740 0.740 0.480
0.260 0.260 0.520
0.000 0.000 0.000
0.377 0.877 0.754
0.877 0.377 0.754
0.623 0.123 0.246
0.123 0.623 0.246
```



No. 5
Pm3Si3Ru | PBE-GGA | relaxed

Values from the calculation:
For the uncorrected formation energy, the calculation gives -5.2 eV/f.u. The calculation puts the volume at 149.95 Å³/f.u. The value obtained for the total energy is -6.429 eV/atom.

```
Pm3Si3Ru
1.0
-2.314 -0.553 3.485
3.513 -4.514 -0.938
9.389 5.819 7.160
Pm Si Ru
6 6 2
direct
0.227 0.454 0.897
0.773 0.546 0.103
0.227 0.454 0.603
0.773 0.546 0.397
0.518 0.036 0.750
0.482 0.964 0.250
0.939 0.878 0.911
0.061 0.122 0.089
0.939 0.878 0.589
0.061 0.122 0.411
0.812 0.625 0.750
0.188 0.375 0.250
0.500 0.000 0.000
0.500 0.000 0.500
```



No. 6
La2SmDySe6 | PBE-GGA | relaxed

Values from the calculation:
For the uncorrected formation energy, the calculation gives -19.2 eV/f.u. The calculation puts the volume at 317.42 Å³/f.u. The value obtained for the total energy is -5.924 eV/atom.

```
La2SmDySe6
1.0
7.483 0.000 0.000
3.741 6.480 0.000
3.741 2.160 6.547
La Sm Dy Se
2 1 1 6
direct
0.522 0.522 0.435
0.021 0.021 0.938
0.816 0.816 0.552
0.318 0.318 0.047
0.602 0.202 0.256
0.202 0.940 0.256
0.940 0.602 0.256
0.433 0.699 0.759
0.699 0.110 0.759
0.110 0.433 0.759
```



No. 7
LiY3Ho3Se8 | PBE-GGA | relaxed

Values from the calculation:
For the uncorrected formation energy, the calculation gives -26.9 eV/f.u. The calculation puts the volume at 374.65 Å³/f.u. The value obtained for the total energy is -5.986 eV/atom.

```
LiY3Ho3Se8
1.0
-1.963 4.317 6.552
3.770 -7.109 0.821
3.991 6.371 -3.002
Li Y Ho Se
1 3 3 8
direct
0.000 0.000 0.500
0.000 0.000 0.000
0.000 0.500 0.000
0.500 0.500 0.000
0.500 0.000 0.500
0.500 0.500 0.500
0.000 0.500 0.500
0.251 0.502 0.252
0.749 0.498 0.748
0.753 0.506 0.254
0.247 0.494 0.746
0.753 0.002 0.255
0.247 0.998 0.745
0.249 0.002 0.255
0.751 0.998 0.745
```



No. 8
CdInTeO6 | PBE-GGA | relaxed

Values from the calculation:
For the uncorrected formation energy, the calculation gives -9.2 eV/f.u. The calculation puts the volume at 120.99 Å³/f.u. The value obtained for the total energy is -5.086 eV/atom.

```
CdInTeO6
1.0
-2.000 -4.513 -0.349
0.028 -0.394 4.933
-9.038 3.976 0.370
Cd In Te O
2 2 2 12
direct
0.500 0.500 0.499
0.000 0.000 0.999
0.500 0.500 0.167
0.000 0.000 0.667
0.500 0.500 0.834
0.000 0.000 0.334
0.180 0.820 0.485
0.820 0.180 0.485
0.320 0.320 0.985
0.680 0.680 0.985
0.190 0.810 0.189
0.810 0.190 0.189
0.310 0.310 0.689
0.690 0.690 0.689
0.780 0.220 0.826
0.220 0.780 0.826
0.720 0.720 0.326
0.280 0.280 0.326
```



No. 9
SnPdRhPb | PBE-GGA | relaxed

Values from the calculation:
The calculation puts the volume at 76.32 Å³/f.u. The formation energy comes out at -0.167 eV per atom. The value obtained for the total energy is -5.230 eV/atom.

```
SnPdRhPb
1.0
4.761 0.000 0.000
2.381 4.123 0.000
2.381 1.374 3.887
Pb Rh Sn Pd
1 1 1 1
direct
0.750 0.750 0.750
0.500 0.500 0.500
0.250 0.250 0.250
0.000 0.000 0.000
```



No. 10
DyHoCl6 | PBE-GGA | relaxed

Values from the calculation:
For the uncorrected formation energy, the calculation gives -18.0 eV/f.u. The calculation puts the volume at 238.50 Å³/f.u. The value obtained for the total energy is -4.784 eV/atom.

```
DyHoCl6
1.0
-0.051 4.805 4.706
-5.848 2.267 2.430
-1.810 -1.900 6.728
Dy Ho Cl
1 1 6
direct
0.000 0.000 0.000
0.500 0.500 0.500
0.106 0.395 0.749
0.749 0.106 0.749
0.605 0.251 0.251
0.251 0.894 0.251
0.894 0.605 0.251
0.395 0.749 0.749
```



No. 11
Ac3NdSn2 | PBE-GGA | relaxed

Values from the calculation:
The calculation puts the volume at 247.33 Å³/f.u. The formation energy comes out at -0.248 eV per atom. The value obtained for the total energy is -4.431 eV/atom. The offset from the most stable computed form comes out at 172.6 kJ/mol of formula units.

```
Ac3NdSn2
1.0
-7.118 3.316 -4.369
-6.646 -5.316 -2.884
-8.157 0.202 3.765
Ac Nd Sn
6 2 4
direct
0.467 0.033 0.750
0.033 0.750 0.467
0.750 0.467 0.033
0.533 0.967 0.250
0.967 0.250 0.533
0.250 0.533 0.967
0.500 0.500 0.500
0.000 0.000 0.000
0.356 0.356 0.356
0.144 0.144 0.144
0.856 0.856 0.856
0.644 0.644 0.644
```



No. 12
Li2TlBr | PBE-GGA | relaxed

Values from the calculation:
For the uncorrected formation energy, the calculation gives -0.8 eV/f.u. The calculation puts the volume at 112.66 Å³/f.u. The value obtained for the total energy is -2.164 eV/atom. The offset from the most stable computed form comes out at 203.8 kJ/mol of formula units.

```
Li2TlBr
1.0
5.421 0.000 0.000
2.711 4.695 0.000
2.711 1.565 4.426
Br Li Tl
1 2 1
direct
0.500 0.500 0.500
0.000 0.000 0.000
0.250 0.250 0.250
0.750 0.750 0.750
```



We obtain DOS(E_F) values of 2.881 0.000 12.077 2.909 9.592 0.000 4.275 11.251 1.149 0.000 15.841 3.326 states/eV per cell for the records listed above, in that order.